Computed, not measured: an optimized crystal structure of YCrAu2 at the PBE level of DFT.

Results
For the calculated volume, the calculation gives 95 Å³/f.u. Its density of states at the Fermi level is 3.03 states/eV/f.u. The value obtained for the excess energy over the best structure of this formula in the dataset is 0.460 eV per atom. For the formation energy, the calculation gives 0.39 eV/f.u.

Cell lengths 4.570, 4.570, 18.151 Å; angles 90.00, 90.00, 90.00 degrees
Space group I-42d (No. 122)
One atom of each set of equivalent atoms:
Y: 0.000 0.000 0.000 x4
Cr: 0.000 0.000 0.500 x4
Au: 0.183 0.250 0.625 x8


Computed, not measured: an optimized crystal structure of CeTmGe at the PBE level of DFT.

Results
For the calculated volume, the calculation gives 72 Å³/f.u. Its density of states at the Fermi level is 4.00 states/eV/f.u. For the formation energy, the calculation gives -2.03 eV/f.u.

Cell lengths 4.150, 4.150, 16.701 Å; angles 90.00, 90.00, 90.00 degrees
Space group I4/mmm (No. 139)
One atom of each set of equivalent atoms:
Ce: 0.000 0.500 0.000 x4
Tm: 0.000 0.000 0.180 x4
Ge: 0.000 0.000 0.357 x4


Computed, not measured: an optimized crystal structure of Pr8Os2Pd at the PBE level of DFT.

Results
For the calculated volume, the calculation gives 336 Å³/f.u. Its density of states at the Fermi level is 11.24 states/eV/f.u. For the formation energy, the calculation gives -1.06 eV/f.u.

Cell lengths 8.602, 13.018, 6.353 Å; angles 90.00, 109.31, 90.00 degrees
Space group Cm (No. 8)
One atom of each set of equivalent atoms:
Pr: 0.000 0.000 0.000 x2
Pr: 0.075 0.367 0.802 x4
Pr: 0.152 0.133 0.592 x4
Pr: 0.228 0.500 0.396 x2
Pr: 0.361 0.216 0.200 x4
Os: 0.364 0.310 0.698 x4
Pd: 0.367 0.000 0.366 x2


Computed, not measured: an optimized crystal structure of Co3Mo at the PBE level of DFT.

Results
For the calculated volume, the calculation gives 48 Å³/f.u. Its density of states at the Fermi level is 3.53 states/eV/f.u. For the formation energy, the calculation gives 0.43 eV/f.u.

Cell lengths 4.585, 4.585, 4.585 Å; angles 90.00, 90.00, 90.00 degrees
Space group Pm-3n (No. 223)
One atom of each set of equivalent atoms:
Co: 0.000 0.250 0.500 x6
Mo: 0.000 0.000 0.000 x2


Computed, not measured: an optimized crystal structure of Cr2CuP at the PBE level of DFT.

Results
For the calculated volume, the calculation gives 47 Å³/f.u. Its density of states at the Fermi level is 3.81 states/eV/f.u. For the formation energy, the calculation gives 0.17 eV/f.u.

Cell lengths 2.814, 2.814, 5.952 Å; angles 90.00, 90.00, 90.00 degrees
Space group P4/mmm (No. 123)
One atom of each set of equivalent atoms:
Cr: 0.000 0.000 0.218 x2
Cu: 0.500 0.500 0.500 x1
P: 0.500 0.500 0.000 x1


Computed, not measured: an optimized crystal structure of HfMgBi2 at the PBE level of DFT.

Results
For the calculated volume, the calculation gives 102 Å³/f.u. Its density of states at the Fermi level is 2.11 states/eV/f.u. The value obtained for the excess energy over the best structure of this formula in the dataset is 0.000 eV per atom. For the formation energy, the calculation gives -0.32 eV/f.u.

Cell lengths 3.943, 3.943, 6.560 Å; angles 90.00, 90.00, 90.00 degrees
Space group P4/mmm (No. 123)
One atom of each set of equivalent atoms:
Hf: 0.000 0.000 0.000 x1
Mg: 0.000 0.000 0.500 x1
Bi: 0.500 0.500 0.239 x2


Computed, not measured: an optimized crystal structure of InGe2SbPt at the PBE level of DFT.

Results
The uncorrected formation energy comes out at 1.176 eV per atom. For the calculated volume, the calculation gives 142 Å³/f.u. Its density of states at the Fermi level is 2.72 states/eV/f.u.

Cell lengths 5.049, 5.049, 5.565 Å; angles 90.00, 90.00, 90.00 degrees
Space group P4/mmm (No. 123)
One atom of each set of equivalent atoms:
In: 0.000 0.000 0.000 x1
Ge: 0.000 0.500 0.000 x2
Sb: 0.000 0.000 0.500 x1
Pt: 0.500 0.500 0.500 x1


Computed, not measured: an optimized crystal structure of Pu2HBr2 at the PBE level of DFT.

Results
For the calculated volume, the calculation gives 123 Å³/f.u. Its density of states at the Fermi level is 13.77 states/eV/f.u. The calculation puts the total DFT energy (no corrections) at -7.6708 eV/atom.

Cell lengths 9.452, 3.608, 14.380 Å; angles 90.00, 90.00, 90.00 degrees
Space group Pnma (No. 62)
One atom of each set of equivalent atoms:
Pu: 0.052 0.250 0.181 x4
Pu: 0.123 0.750 0.063 x4
H: 0.067 0.750 0.262 x4
Br: 0.142 0.750 0.645 x4
Br: 0.193 0.250 0.906 x4


Computed, not measured: an optimized crystal structure of CeHoHg4 at the PBE level of DFT.

Results
For the calculated volume, the calculation gives 152 Å³/f.u. Its density of states at the Fermi level is 9.46 states/eV/f.u. The value obtained for the excess energy over the best structure of this formula in the dataset is 0.172 eV per atom. For the formation energy, the calculation gives -1.07 eV/f.u.

Cell lengths 8.470, 8.470, 8.470 Å; angles 90.00, 90.00, 90.00 degrees
Space group F-43m (No. 216)
One atom of each set of equivalent atoms:
Ce: 0.000 0.000 0.000 x4
Ho: 0.250 0.250 0.750 x4
Hg: 0.125 0.125 0.375 x16


Computed, not measured: an optimized crystal structure of RbMnNi at the PBE level of DFT.

Results
For the calculated volume, the calculation gives 83 Å³/f.u. Its density of states at the Fermi level is 1.63 states/eV/f.u. The value obtained for the excess energy over the best structure of this formula in the dataset is 0.188 eV per atom. For the formation energy, the calculation gives 1.77 eV/f.u.

Cell lengths 4.236, 5.931, 7.465 Å; angles 90.42, 106.39, 110.86 degrees
Space group P-1 (No. 2)
One atom of each set of equivalent atoms:
Rb: 0.225 0.295 0.153 x2
Mn: 0.351 0.110 0.593 x2
Ni: 0.071 0.693 0.448 x2


Computed, not measured: an optimized crystal structure of V7Mo2W2 at the PBE level of DFT.

Results
For the calculated volume, the calculation gives 158 Å³/f.u. Its density of states at the Fermi level is 14.05 states/eV/f.u. The value obtained for the excess energy over the best structure of this formula in the dataset is 0.000 eV per atom. For the formation energy, the calculation gives -0.94 eV/f.u.

Cell lengths 4.309, 6.682, 6.709 Å; angles 61.44, 71.31, 89.83 degrees
Space group P-1 (No. 2)
One atom of each set of equivalent atoms:
V: 0.000 0.000 0.000 x1
V: 0.091 0.452 0.819 x2
V: 0.180 0.913 0.639 x2
V: 0.363 0.816 0.274 x2
Mo: 0.271 0.359 0.458 x2
W: 0.454 0.267 0.094 x2


Computed, not measured: an optimized crystal structure of CaZnIr at the PBE level of DFT.

Results
For the calculated volume, the calculation gives 66 Å³/f.u. Its density of states at the Fermi level is 2.41 states/eV/f.u. For the formation energy, the calculation gives -0.08 eV/f.u.

Cell lengths 6.405, 6.405, 6.405 Å; angles 90.00, 90.00, 90.00 degrees
Space group F-43m (No. 216)
One atom of each set of equivalent atoms:
Ca: 0.000 0.000 0.000 x4
Zn: 0.000 0.000 0.500 x4
Ir: 0.250 0.250 0.250 x4


Computed, not measured: an optimized crystal structure of TaOs3S at the PBE level of DFT.

Results
The uncorrected formation energy comes out at 2.630 eV per atom. For the calculated volume, the calculation gives 112 Å³/f.u. Its density of states at the Fermi level is 5.85 states/eV/f.u. The value obtained for the excess energy over the best structure of this formula in the dataset is 1.662 eV per atom.

Cell lengths 4.818, 4.818, 4.818 Å; angles 90.00, 90.00, 90.00 degrees
Space group Pm-3m (No. 221)
One atom of each set of equivalent atoms:
Ta: 0.000 0.000 0.000 x1
Os: 0.000 0.000 0.500 x3
S: 0.500 0.500 0.500 x1


Computed, not measured: an optimized crystal structure of Ag6SnSb at the PBE level of DFT.

Results
The uncorrected formation energy comes out at 0.012 eV per atom. For the calculated volume, the calculation gives 157 Å³/f.u. Its density of states at the Fermi level is 2.21 states/eV/f.u. The value obtained for the excess energy over the best structure of this formula in the dataset is 0.000 eV per atom.

Cell lengths 4.896, 6.138, 5.236 Å; angles 90.00, 90.00, 90.00 degrees
Space group Pmm2 (No. 25)
One atom of each set of equivalent atoms:
Ag: 0.000 0.000 0.000 x1
Ag: 0.000 0.247 0.509 x2
Ag: 0.500 0.247 0.832 x2
Ag: 0.500 0.500 0.348 x1
Sn: 0.500 0.000 0.336 x1
Sb: 0.000 0.500 0.004 x1


Computed, not measured: an optimized crystal structure of CaAuBr2 at the PBE level of DFT.

Results
The uncorrected formation energy comes out at -0.841 eV per atom. For the calculated volume, the calculation gives 120 Å³/f.u. Its density of states at the Fermi level is 1.71 states/eV/f.u. The value obtained for the excess energy over the best structure of this formula in the dataset is 0.155 eV per atom.

Cell lengths 7.175, 8.979, 5.107 Å; angles 90.00, 133.14, 90.00 degrees
Space group C2/m (No. 12)
One atom of each set of equivalent atoms:
Ca: 0.000 0.000 0.000 x2
Au: 0.000 0.500 0.000 x2
Br: 0.250 0.250 0.500 x4


Computed, not measured: an optimized crystal structure of Sm14ErTm at the PBE level of DFT.

Results
For the calculated volume, the calculation gives 533 Å³/f.u. Its density of states at the Fermi level is 23.21 states/eV/f.u. For the formation energy, the calculation gives 0.26 eV/f.u.

Cell lengths 7.232, 7.232, 10.188 Å; angles 90.00, 90.00, 90.00 degrees
Space group P4/mmm (No. 123)
One atom of each set of equivalent atoms:
Sm: 0.000 0.000 0.000 x1
Sm: 0.000 0.500 0.000 x2
Sm: 0.000 0.500 0.500 x2
Sm: 0.250 0.250 0.252 x8
Sm: 0.500 0.500 0.000 x1
Er: 0.000 0.000 0.500 x1
Tm: 0.500 0.500 0.500 x1